Here is crystalline Nd2MgPd7 at its relaxed geometry from Alexandria. Energies are from PBE.

The structure belongs to space group Fm-3m (No. 225); the cell edges are 9.5656, 9.5656 and 9.5656 Å and the angles 90.00°, 90.00° and 90.00°. The distinct sites, in fractional coordinates, are Nd at (0.2500, 0.2500, 0.2500), Mg at (0.0000, 0.0000, 0.0000), Pd at (0.0000, 0.0000, 0.2412) and Pd at (0.0000, 0.0000, 0.5000).

As for the formation energy from the elements: -6.4 kJ per mole of atoms. The calculation puts the uncorrected energy at -192.6 eV for the cell shown.

---

Here is crystalline NdMgPd5 at its relaxed geometry from Alexandria. Energies are from PBE.

The structure belongs to space group P4/mmm (No. 123); the cell edges are 4.2118, 4.2118 and 7.3106 Å and the angles 90.00°, 90.00° and 90.00°. The distinct sites, in fractional coordinates, are Nd at (0.0000, 0.0000, 0.0000), Mg at (0.5000, 0.5000, 0.5000), Pd at (0.0000, 0.5000, 0.2835) and Pd at (0.5000, 0.5000, 0.0000).

As for the formation energy from the elements: -49.1 kJ per mole of atoms. The calculation puts the uncorrected energy at -35.9 eV for the cell shown.

---

Here is crystalline Nd3MgPd3 at its relaxed geometry from Alexandria. Energies are from PBE.

The structure belongs to space group C2/m (No. 12); the cell edges are 9.0212, 10.6763 and 7.2199 Å and the angles 90.00°, 92.37° and 90.00°. The distinct sites, in fractional coordinates, are Nd at (0.0000, 0.1696, 0.0000), Nd at (0.0000, 0.2532, 0.5000), Nd at (0.1457, 0.5000, 0.8630), Mg at (0.2445, 0.5000, 0.3651), Pd at (0.0698, 0.0000, 0.3210) and Pd at (0.2364, 0.2745, 0.2118).

As for the formation energy from the elements: -56.7 kJ per mole of atoms. The calculation puts the uncorrected energy at -142.4 eV for the cell shown.

---

Here is crystalline Nd3Mg4Pd4 at its relaxed geometry from Alexandria. Energies are from PBE.

The structure belongs to space group Immm (No. 71); the cell edges are 4.1350, 8.0416 and 14.8291 Å and the angles 90.00°, 90.00° and 90.00°. The distinct sites, in fractional coordinates, are Nd at (0.0000, 0.0000, 0.0000), Nd at (0.0000, 0.5000, 0.1179), Mg at (0.0000, 0.3082, 0.3262), Pd at (0.0000, 0.0000, 0.2272) and Pd at (0.0000, 0.1932, 0.5000).

As for the formation energy from the elements: -60.8 kJ per mole of atoms. The calculation puts the uncorrected energy at -96.8 eV for the cell shown.

---

Here is crystalline Nd8Mg2Pd at its relaxed geometry from Alexandria. Energies are from PBE.

The structure belongs to space group C2/m (No. 12); the cell edges are 18.1907, 5.5558 and 7.1464 Å and the angles 90.00°, 107.82° and 90.00°. The distinct sites, in fractional coordinates, are Nd at (0.0167, 0.0000, 0.2751), Nd at (0.0953, 0.5000, 0.9281), Nd at (0.1513, 0.5000, 0.4408), Nd at (0.1978, 0.0000, 0.7672), Mg at (0.1858, 0.0000, 0.2069) and Pd at (0.0000, 0.5000, 0.5000).

As for the formation energy from the elements: -9.7 kJ per mole of atoms. The calculation puts the uncorrected energy at -95.3 eV for the cell shown.

---

Here is crystalline NdMg3Pd at its relaxed geometry from Alexandria. Energies are from PBE.

The structure belongs to space group Pm-3m (No. 221); the cell edges are 4.9953, 4.9953 and 4.9953 Å and the angles 90.00°, 90.00° and 90.00°. The distinct sites, in fractional coordinates, are Nd at (0.0000, 0.0000, 0.0000), Mg at (0.0000, 0.5000, 0.5000) and Pd at (0.5000, 0.5000, 0.5000).

As for the formation energy from the elements: -24.3 kJ per mole of atoms. The calculation puts the uncorrected energy at -16.0 eV for the cell shown. For the relative energy among the computed polymorphs, the calculation gives 150 meV/atom.

---

Here is crystalline NdMgPd14 at its relaxed geometry from Alexandria. Energies are from PBE.

The structure belongs to space group P4/mmm (No. 123); the cell edges are 5.7116, 5.7116 and 7.9794 Å and the angles 90.00°, 90.00° and 90.00°. The distinct sites, in fractional coordinates, are Nd at (0.0000, 0.0000, 0.0000), Mg at (0.5000, 0.5000, 0.0000), Pd at (0.0000, 0.0000, 0.5000), Pd at (0.0000, 0.5000, 0.0000), Pd at (0.0000, 0.5000, 0.5000), Pd at (0.2543, 0.2543, 0.2570) and Pd at (0.5000, 0.5000, 0.5000).

As for the formation energy from the elements: -27.0 kJ per mole of atoms. The calculation puts the uncorrected energy at -83.5 eV for the cell shown.

---

Here is crystalline Nd2MgPd at its relaxed geometry from Alexandria. Energies are from PBE.

The structure belongs to space group P4/mmm (No. 123); the cell edges are 3.7432, 3.7432 and 7.5876 Å and the angles 90.00°, 90.00° and 90.00°. The distinct sites, in fractional coordinates, are Nd at (0.0000, 0.0000, 0.2239), Mg at (0.5000, 0.5000, 0.5000) and Pd at (0.5000, 0.5000, 0.0000).

As for the formation energy from the elements: -39.5 kJ per mole of atoms. The calculation puts the uncorrected energy at -18.0 eV for the cell shown. For the relative energy among the computed polymorphs, the calculation gives 0 meV/atom.